# 1
5
Lattice="3.0117 0.0000 0.0000 0.0000 3.6321 -0.0214 0.0000 -1.7939 5.9962" Properties=species:S:1:pos:R:3 comment="PuH2Rh2 (GGA-PBE, relaxed)" magmom_total_mub_per_cell=3.99 final_energy_ev_per_atom=-7.15 mass_density_kg_m3=11459 volume_a3_per_cell=65 pbc="T T T"
H 2.1083 1.8150 0.4292
Rh 2.1083 0.0104 2.7070
Rh 0.6024 1.8335 4.0874
H 0.6024 0.0173 4.1883
Pu 0.6024 -0.0003 0.5377


# 2
14
Lattice="-3.5550 -0.4017 -2.7551 0.7929 -2.0572 -3.9407 -2.8626 -7.0873 -0.6016" Properties=species:S:1:pos:R:3 comment="PuH5Rh (GGA-PBE, relaxed)" magmom_total_mub_per_cell=10.05 final_energy_ev_per_atom=-5.79 mass_density_kg_m3=9591 volume_a3_per_cell=122 pbc="T T T"
H -4.0834 -4.1908 -4.4529
H -3.4258 -8.5299 -5.3233
H -1.9957 -4.9874 -5.0213
H -0.1105 -1.8099 -2.5444
H -4.2706 -2.1736 -2.9055
H -1.3541 -7.3727 -4.3919
Pu -2.0966 -3.0013 -3.4983
H -1.5412 -5.3555 -2.8445
Rh -1.4313 -3.5437 -0.3008
Pu -3.5281 -6.5449 -3.7991
Rh 0.0000 0.0000 0.0000
H -3.6289 -4.5589 -2.2761
H -2.1988 -1.0164 -1.9741
H -5.5142 -7.7364 -4.7530